A relaxed structure of PrSm6Y6, computed with PBE-GGA.

Cell lengths 7.182, 11.319, 11.061 Å; angles 90.00, 90.00, 90.00 degrees
Space group Cmmm (No. 65)
Inequivalent atoms, fractional coordinates:
Pr (0.000, 0.000, 0.000) x2
Sm (0.000, 0.000, 0.329) x4
Sm (0.000, 0.252, 0.500) x4
Sm (0.000, 0.361, 0.000) x4
Y (0.000, 0.500, 0.311) x4
Y (0.250, 0.250, 0.224) x8

Calculated values
crystal system = orthorhombic
formation energy = 216 meV per atom